(1)
The following is a PBE calculation of AlBi3Ir after structural relaxation, from Alexandria.

The structure belongs to space group Pm-3m (No. 221); the cell edges are 5.396, 5.396 and 5.396 Å and the angles 90.00°, 90.00° and 90.00°. The inequivalent atoms are Al at (0.000, 0.000, 0.000), Bi at (0.000, 0.500, 0.500) and Ir at (0.500, 0.500, 0.500).

Its crystal system is cubic.

=====

(2)
The following is a PBE calculation of Na5ReO4F2 after structural relaxation, from Alexandria.

The structure belongs to space group Amm2 (No. 38); the cell edges are 6.589, 9.516 and 5.694 Å and the angles 90.00°, 90.00° and 90.00°. The inequivalent atoms are Na at (0.000, 0.000, 0.000), Na at (0.250, 0.186, 0.483), Re at (0.500, 0.000, 0.990), O at (0.295, 0.000, 0.222), O at (0.500, 0.157, 0.800) and F at (0.000, 0.192, 0.763).

Its crystal system is orthorhombic. The uncorrected formation energy is -1.90 eV/atom.

=====

(3)
The following is a PBE calculation of BaAgRu2 after structural relaxation, from Alexandria.

The structure belongs to space group P2/m (No. 10); the cell edges are 4.191, 4.850 and 5.261 Å and the angles 90.00°, 98.92° and 90.00°. The inequivalent atoms are Ba at (0.000, 0.000, 0.000), Ag at (0.500, 0.000, 0.500) and Ru at (0.263, 0.500, 0.602).

Its crystal system is monoclinic.

=====

(4)
The following is a PBE calculation of NaTi3F10 after structural relaxation, from Alexandria.

The structure belongs to space group Fdd2 (No. 43); the cell edges are 13.373, 15.943 and 7.712 Å and the angles 90.00°, 90.00° and 90.00°. The inequivalent atoms are Na at (0.000, 0.000, 0.000), Ti at (0.000, 0.000, 0.462), Ti at (0.000, 0.250, 0.459), F at (0.000, 0.126, 0.461), F at (0.002, 0.366, 0.456), F at (0.044, 0.249, 0.208), F at (0.103, 0.497, 0.772) and F at (0.107, 0.002, 0.637).

Its crystal system is orthorhombic. The uncorrected formation energy is -3.26 eV/atom.

=====

(5)
The following is a PBE calculation of Ho2BiPb after structural relaxation, from Alexandria.

The structure belongs to space group R3m (No. 160, hexagonal axes); the cell edges are 4.2475, 4.2475 and 24.2481 Å and the angles 90.00°, 90.00° and 120.00°. The inequivalent atoms are Ho at (0.0000, 0.0000, 0.0000), Ho at (0.0000, 0.0000, 0.1745), Bi at (0.0000, 0.0000, 0.5858) and Pb at (0.0000, 0.0000, 0.7549).

Its crystal system is trigonal.

=====

(6)
The following is a PBE calculation of ZnGa2Sn2 after structural relaxation, from Alexandria.

The structure belongs to space group P4/mbm (No. 127); the cell edges are 7.532, 7.532 and 4.201 Å and the angles 90.00°, 90.00° and 90.00°. The inequivalent atoms are Zn at (0.000, 0.000, 0.000), Ga at (0.140, 0.360, 0.500) and Sn at (0.160, 0.660, 0.000).

Its crystal system is tetragonal.

=====

(7)
The following is a PBE calculation of Rb2CdH after structural relaxation, from Alexandria.

The structure belongs to space group R3m (No. 160, hexagonal axes); the cell edges are 4.2044, 4.2044 and 28.9789 Å and the angles 90.00°, 90.00° and 120.00°. The inequivalent atoms are Rb at (0.0000, 0.0000, 0.0000), Rb at (0.0000, 0.0000, 0.2110), Cd at (0.0000, 0.0000, 0.4385) and H at (0.0000, 0.0000, 0.6055).

Its crystal system is trigonal.

=====

(8)
The following is a PBE calculation of RePCCl2 after structural relaxation, from Alexandria.

The structure belongs to space group P4/mmm (No. 123); the cell edges are 4.823, 4.823 and 4.625 Å and the angles 90.00°, 90.00° and 90.00°. The inequivalent atoms are Re at (0.000, 0.000, 0.000), P at (0.000, 0.000, 0.500), C at (0.500, 0.500, 0.500) and Cl at (0.000, 0.500, 0.000).

Its crystal system is tetragonal. The uncorrected formation energy is 1.64 eV/atom.

=====

Going through the records in order, we get calculated volume values of 157; 178; 106; 206; 126; 119; 148; 108 Å³/f.u..
Going through the records in order, we get E_tot values of -4.1899; -5.4556; -5.1859; -6.3850; -4.6809; -2.9136; -1.5403; -4.5138 eV/atom.